# 1
MnCl3 | the Alexandria database | PBE-GGA | optimized geometry; symmetry = Cmcm, No. 63; energy relative to the elements, uncorrected = -0.8444 eV per atom; electronic total energy = -4.52 eV per atom; mass density = 2.33 g cm⁻³
1.0
3.362 0.000 0.000
-1.681 6.384 0.000
0.000 0.000 10.717
Mn Cl
2 6
Direct
0.400 0.801 0.250
0.600 0.199 0.750
0.427 0.854 0.750
0.862 0.725 0.397
0.138 0.275 0.603
0.862 0.725 0.103
0.138 0.275 0.897
0.573 0.146 0.250


# 2
Mn2Cl | the Alexandria database | PBE-GGA | optimized geometry; symmetry = C2/m, No. 12; energy relative to the elements, uncorrected = -0.0001 eV per atom; electronic total energy = -6.73 eV per atom; mass density = 3.94 g cm⁻³
1.0
1.651 8.483 -3.187
-1.651 8.483 -3.187
0.000 2.741 3.339
Mn Cl
4 2
Direct
0.806 0.806 0.452
0.692 0.692 0.053
0.194 0.194 0.548
0.308 0.308 0.947
0.592 0.592 0.627
0.408 0.408 0.373


# 3
Mn3Cl | the Alexandria database | PBE-GGA | optimized geometry; symmetry = R-3m, No. 166; energy relative to the elements, uncorrected = 0.6114 eV per atom; electronic total energy = -6.73 eV per atom; mass density = 4.99 g cm⁻³
1.0
5.209 -0.001 -0.002
-2.328 4.660 -0.002
-2.328 -3.765 2.747
Mn Cl
3 1
Direct
0.500 0.000 0.500
0.000 0.500 0.500
0.500 0.500 0.000
0.000 0.000 0.000


# 4
Mn3Cl | the Alexandria database | PBE-GGA | optimized geometry; symmetry = Pmmn, No. 59; energy relative to the elements, uncorrected = 0.3126 eV per atom; electronic total energy = -7.03 eV per atom; mass density = 4.68 g cm⁻³
1.0
-2.858 2.722 0.366
-2.551 -2.280 -2.958
-3.194 -4.153 5.954
Mn Cl
6 2
Direct
0.500 0.222 0.917
0.000 0.722 0.083
0.000 0.500 0.804
0.500 0.778 0.917
0.500 0.000 0.196
0.000 0.278 0.083
0.500 0.500 0.645
0.000 0.000 0.355


# 5
Mn3Cl | the Alexandria database | PBE-GGA | optimized geometry; symmetry = I4/mmm, No. 139; energy relative to the elements, uncorrected = 0.6713 eV per atom; electronic total energy = -6.67 eV per atom; mass density = 5.06 g cm⁻³
1.0
5.199 -0.013 0.000
2.352 4.636 0.000
-3.775 -2.311 2.726
Mn Cl
3 1
Direct
0.500 0.500 0.000
0.250 0.750 0.500
0.750 0.250 0.500
0.000 0.000 0.000


# 6
MnCl | the Alexandria database | PBE-GGA | optimized geometry; symmetry = I-43m, No. 217; energy relative to the elements, uncorrected = -0.1538 eV per atom; electronic total energy = -5.66 eV per atom; mass density = 2.37 g cm⁻³
1.0
7.971 0.000 0.000
0.000 7.971 0.000
0.000 0.000 7.971
Mn Cl
8 8
Direct
0.621 0.621 0.379
0.121 0.879 0.121
0.879 0.879 0.879
0.621 0.379 0.621
0.379 0.621 0.621
0.121 0.121 0.879
0.379 0.379 0.379
0.879 0.121 0.121
0.292 0.292 0.708
0.792 0.792 0.208
0.292 0.708 0.292
0.208 0.792 0.792
0.792 0.208 0.792
0.708 0.708 0.708
0.708 0.292 0.292
0.208 0.208 0.208


# 7
MnCl | the Alexandria database | PBE-GGA | optimized geometry; symmetry = Pmmn, No. 59; energy relative to the elements, uncorrected = 0.0023 eV per atom; electronic total energy = -5.51 eV per atom; mass density = 3.97 g cm⁻³
1.0
3.258 0.000 0.000
0.000 6.206 0.000
0.000 0.000 11.214
Cl Mn
6 6
Direct
0.500 0.329 0.155
0.500 0.329 0.845
0.500 0.110 0.500
0.000 0.890 0.000
0.000 0.671 0.345
0.000 0.671 0.655
0.500 0.588 0.000
0.500 0.952 0.301
0.500 0.952 0.699
0.000 0.048 0.801
0.000 0.048 0.199
0.000 0.412 0.500


# 8
MnCl3 | the Alexandria database | PBE-GGA | optimized geometry; symmetry = Cmmm, No. 65; energy relative to the elements, uncorrected = 0.0678 eV per atom; electronic total energy = -3.61 eV per atom; mass density = 3.24 g cm⁻³
1.0
-1.525 3.880 1.999
-3.249 -2.430 2.218
2.436 -0.563 2.951
Cl Mn
3 1
Direct
0.000 0.500 0.500
0.500 0.500 0.000
0.500 0.000 0.500
0.000 0.000 0.000


# 9
Mn3Cl | the Alexandria database | PBE-GGA | optimized geometry; symmetry = R-3m, No. 166; energy relative to the elements, uncorrected = 0.2111 eV per atom; electronic total energy = -7.13 eV per atom; mass density = 5.25 g cm⁻³
1.0
7.769 -0.205 -0.121
7.228 2.856 -0.121
7.228 1.278 2.557
Mn Cl
3 1
Direct
0.245 0.245 0.245
0.755 0.755 0.755
0.500 0.500 0.500
0.000 0.000 0.000


# 10
MnCl | the Alexandria database | PBE-GGA | optimized geometry; symmetry = P2_12_12_1, No. 19; energy relative to the elements, uncorrected = -0.1957 eV per atom; electronic total energy = -5.70 eV per atom; mass density = 3.40 g cm⁻³
1.0
-3.283 6.155 0.260
-3.689 -1.809 -3.756
-5.303 -3.112 6.707
Mn Cl
8 8
Direct
0.486 0.585 0.009
0.014 0.415 0.509
0.513 0.283 0.769
0.514 0.085 0.491
0.986 0.915 0.991
0.013 0.217 0.231
0.987 0.717 0.269
0.487 0.783 0.731
0.296 0.974 0.293
0.204 0.026 0.793
0.350 0.483 0.547
0.704 0.474 0.207
0.850 0.017 0.453
0.150 0.517 0.047
0.650 0.983 0.953
0.796 0.526 0.707


# 11
Mn2Cl3 | the Alexandria database | PBE-GGA | optimized geometry; symmetry = P-3m1, No. 164; energy relative to the elements, uncorrected = -0.6682 eV per atom; electronic total energy = -5.44 eV per atom; mass density = 3.22 g cm⁻³
1.0
1.875 -3.248 0.000
1.875 3.248 0.000
0.000 0.000 9.149
Mn Cl
2 3
Direct
0.667 0.333 0.173
0.333 0.667 0.827
0.000 0.000 0.000
0.333 0.667 0.308
0.667 0.333 0.692


# 12
MnCl3 | the Alexandria database | PBE-GGA | optimized geometry; symmetry = R-3m, No. 166; energy relative to the elements, uncorrected = -0.0172 eV per atom; electronic total energy = -3.69 eV per atom; mass density = 2.04 g cm⁻³
1.0
7.966 4.178 6.940
9.787 4.390 3.744
7.496 7.098 4.742
Cl Mn
3 1
Direct
0.064 0.064 0.064
0.500 0.500 0.500
0.936 0.936 0.936
0.000 0.000 0.000


Please write out number 5 again, unchanged.
Mn3Cl | the Alexandria database | PBE-GGA | optimized geometry; symmetry = I4/mmm, No. 139; energy relative to the elements, uncorrected = 0.6713 eV per atom; electronic total energy = -6.67 eV per atom; mass density = 5.06 g cm⁻³
1.0
5.199 -0.013 0.000
2.352 4.636 0.000
-3.775 -2.311 2.726
Mn Cl
3 1
Direct
0.500 0.500 0.000
0.250 0.750 0.500
0.750 0.250 0.500
0.000 0.000 0.000


Q: energy relative to the elements, uncorrected of number 12 (MnCl3)?
A: -0.0172 eV per atom